1.
NaCoBP2H2O9 | SCAN | single point on PBEsol structure

abc: 6.4934 11.2417 9.6010
angles: 90.00 106.98 90.00
With the nearest neighbours (Å) after each atom.
Positions (direct):
Na: 0.0693 0.1874 0.0499  5 O 2.30-2.51
Na: 0.0693 0.3126 0.5499  5 O 2.30-2.51
Na: 0.9307 0.6874 0.4501  5 O 2.30-2.51
Na: 0.9307 0.8126 0.9501  5 O 2.30-2.51
Co: 0.3826 0.0727 0.5991  5 O 1.98-2.14
Co: 0.3826 0.4273 0.0991  5 O 1.98-2.14
Co: 0.6174 0.5727 0.9009  5 O 1.98-2.14
Co: 0.6174 0.9273 0.4009  5 O 1.98-2.14
B: 0.2684 0.5470 0.3474  4 O 1.46-1.49
B: 0.2684 0.9530 0.8474  4 O 1.46-1.49
B: 0.7316 0.0470 0.1526  4 O 1.46-1.49
B: 0.7316 0.4530 0.6526  4 O 1.46-1.49
P: 0.0770 0.5622 0.8173  4 O 1.51-1.59
P: 0.0770 0.9378 0.3173  4 O 1.51-1.59
P: 0.4691 0.1756 0.9338  4 O 1.50-1.58
P: 0.4691 0.3244 0.4338  4 O 1.50-1.58
P: 0.5309 0.6756 0.5662  4 O 1.50-1.58
P: 0.5309 0.8244 0.0662  4 O 1.50-1.58
P: 0.9230 0.0622 0.6827  4 O 1.51-1.59
P: 0.9230 0.4378 0.1827  4 O 1.51-1.59
H: 0.2685 0.6738 0.7111  1 O 1.04
H: 0.2685 0.8262 0.2111  1 O 1.04
H: 0.4321 0.6417 0.2278  1 O 0.99
H: 0.4321 0.8583 0.7278  1 O 0.99
H: 0.5679 0.1417 0.2722  1 O 0.99
H: 0.5679 0.3583 0.7722  1 O 0.99
H: 0.7315 0.1738 0.7889  1 O 1.04
H: 0.7315 0.3262 0.2889  1 O 1.04
O: 0.0323 0.5502 0.2745  1 B 1.49, 1 P 1.59
O: 0.0323 0.9498 0.7745  1 B 1.49, 1 P 1.59
O: 0.0737 0.1134 0.6038  1 P 1.51
O: 0.0737 0.3866 0.1038  1 P 1.51
O: 0.1078 0.6563 0.7030  1 H 1.04
O: 0.1078 0.8437 0.2030  1 H 1.04
O: 0.3027 0.5289 0.9137  1 P 1.53
O: 0.3027 0.9711 0.4137  1 P 1.53
O: 0.3060 0.6449 0.4539  1 B 1.47, 1 P 1.58
O: 0.3060 0.8551 0.9539  1 B 1.47, 1 P 1.58
O: 0.3160 0.0673 0.9269  1 B 1.48, 1 P 1.56
O: 0.3160 0.4327 0.4269  1 B 1.48, 1 P 1.56
O: 0.3643 0.2213 0.4857  1 P 1.50
O: 0.3643 0.2787 0.9857  1 P 1.50
O: 0.3982 0.5581 0.2472  1 H 0.99
O: 0.3982 0.9419 0.7472  1 H 0.99
O: 0.4892 0.6981 0.7140  1 H 1.45, 1 P 1.54
O: 0.4892 0.8019 0.2140  1 H 1.45, 1 P 1.54
O: 0.5108 0.1981 0.7860  1 H 1.45, 1 P 1.54
O: 0.5108 0.3019 0.2860  1 H 1.45, 1 P 1.54
O: 0.6018 0.0581 0.2528  1 H 0.99
O: 0.6018 0.4419 0.7528  1 H 0.99
O: 0.6357 0.7213 0.0143  1 P 1.50
O: 0.6357 0.7787 0.5143  1 P 1.50
O: 0.6840 0.5673 0.5731  1 B 1.48, 1 P 1.56
O: 0.6840 0.9327 0.0731  1 B 1.48, 1 P 1.56
O: 0.6940 0.1449 0.0461  1 B 1.47, 1 P 1.58
O: 0.6940 0.3551 0.5461  1 B 1.47, 1 P 1.58
O: 0.6973 0.0289 0.5863  1 P 1.53
O: 0.6973 0.4711 0.0863  1 P 1.53
O: 0.8922 0.1563 0.7970  1 H 1.04
O: 0.8922 0.3437 0.2970  1 H 1.04
O: 0.9263 0.6134 0.8962  1 P 1.51
O: 0.9263 0.8866 0.3962  1 P 1.51
O: 0.9677 0.0502 0.2255  1 B 1.49, 1 P 1.59
O: 0.9677 0.4498 0.7255  1 B 1.49, 1 P 1.59

Results
The calculation puts the energy at -9.167 eV per atom. The calculation puts the calculated volume at 168 Å³/f.u.

2.
CoBPH2O6 | SCAN | single point on PBEsol structure

abc: 7.4060 7.4060 12.6232
angles: 90.00 90.00 120.00
With the nearest neighbours (Å) after each atom.
Positions (direct):
Co: 0.0000 0.1406 0.1667  6 O 2.04-2.11
Co: 0.0000 0.2342 0.6667  6 O 2.03-2.12
Co: 0.1406 0.0000 0.8333  6 O 2.04-2.11
Co: 0.2342 0.0000 0.3333  6 O 2.03-2.12
Co: 0.7658 0.7658 0.0000  6 O 2.03-2.12
Co: 0.8594 0.8594 0.5000  6 O 2.04-2.11
B: 0.2663 0.5729 0.0438  4 O 1.45-1.51
B: 0.3065 0.7337 0.7105  4 O 1.45-1.51
B: 0.4271 0.6935 0.3772  4 O 1.45-1.51
B: 0.5729 0.2663 0.9562  4 O 1.45-1.51
B: 0.6935 0.4271 0.6228  4 O 1.45-1.51
B: 0.7337 0.3065 0.2895  4 O 1.45-1.51
P: 0.0629 0.3163 0.4058  4 O 1.52-1.57
P: 0.2534 0.9371 0.0725  4 O 1.52-1.57
P: 0.3163 0.0629 0.5942  4 O 1.52-1.57
P: 0.6837 0.7466 0.7392  4 O 1.52-1.57
P: 0.7466 0.6837 0.2608  4 O 1.52-1.57
P: 0.9371 0.2534 0.9275  4 O 1.52-1.57
H: 0.1172 0.6482 0.8433  1 O 0.99
H: 0.2586 0.5571 0.5748  1 O 1.00
H: 0.2985 0.7414 0.2415  1 O 1.00
H: 0.3518 0.4691 0.1766  1 O 0.99
H: 0.4429 0.7015 0.9082  1 O 1.00
H: 0.4691 0.3518 0.8234  1 O 0.99
H: 0.5309 0.8828 0.5099  1 O 0.99
H: 0.5571 0.2586 0.4252  1 O 1.00
H: 0.6482 0.1172 0.1567  1 O 0.99
H: 0.7015 0.4429 0.0918  1 O 1.00
H: 0.7414 0.2985 0.7585  1 O 1.00
H: 0.8828 0.5309 0.4901  1 O 0.99
O: 0.0312 0.2141 0.8286  1 P 1.53
O: 0.0863 0.4796 0.9697  1 B 1.49, 1 P 1.57
O: 0.0918 0.8840 0.9854  1 P 1.52
O: 0.1160 0.2077 0.3188  1 P 1.52
O: 0.1670 0.7517 0.7854  1 H 0.99
O: 0.1829 0.9688 0.4953  1 P 1.53
O: 0.2077 0.1160 0.6812  1 P 1.52
O: 0.2141 0.0312 0.1714  1 P 1.53
O: 0.2147 0.5407 0.6504  1 H 1.00
O: 0.2483 0.4154 0.1187  1 H 0.99
O: 0.2517 0.7348 0.1103  1 B 1.51, 1 P 1.57, 1 H 1.69
O: 0.2652 0.5170 0.4437  1 B 1.51, 1 P 1.57, 1 H 1.69
O: 0.3261 0.7853 0.3171  1 H 1.00
O: 0.3933 0.9137 0.6364  1 B 1.49, 1 P 1.57
O: 0.4154 0.2483 0.8813  1 H 0.99
O: 0.4593 0.6739 0.9838  1 H 1.00
O: 0.4796 0.0863 0.0303  1 B 1.49, 1 P 1.57
O: 0.4830 0.7483 0.7770  1 B 1.51, 1 P 1.57, 1 H 1.69
O: 0.5170 0.2652 0.5563  1 B 1.51, 1 P 1.57, 1 H 1.69
O: 0.5204 0.6067 0.3030  1 B 1.49, 1 P 1.57
O: 0.5407 0.2147 0.3496  1 H 1.00
O: 0.5846 0.8330 0.4521  1 H 0.99
O: 0.6067 0.5204 0.6970  1 B 1.49, 1 P 1.57
O: 0.6739 0.4593 0.0162  1 H 1.00
O: 0.7348 0.2517 0.8897  1 B 1.51, 1 P 1.57, 1 H 1.69
O: 0.7483 0.4830 0.2230  1 B 1.51, 1 P 1.57, 1 H 1.69
O: 0.7517 0.1670 0.2146  1 H 0.99
O: 0.7853 0.3261 0.6829  1 H 1.00
O: 0.7859 0.8171 0.1619  1 P 1.53
O: 0.7923 0.9082 0.6521  1 P 1.52
O: 0.8171 0.7859 0.8381  1 P 1.53
O: 0.8330 0.5846 0.5479  1 H 0.99
O: 0.8840 0.0918 0.0146  1 P 1.52
O: 0.9082 0.7923 0.3479  1 P 1.52
O: 0.9137 0.3933 0.3636  1 B 1.49, 1 P 1.57
O: 0.9688 0.1829 0.5047  1 P 1.53

Results
The calculation puts the energy at -9.156 eV per atom. The calculation puts the calculated volume at 100 Å³/f.u.

3.
ZrCoBH2 | SCAN | single point on PBEsol structure

abc: 3.3464 3.3464 3.8240
angles: 90.00 90.00 90.00
With the nearest neighbours (Å) after each atom.
Positions (direct):
Zr: 0.0000 0.0000 0.0000  4 B 2.37, 8 H 2.54
Co: 0.5000 0.5000 0.5000  4 H 1.67
B: 0.5000 0.5000 0.0000  2 Co 1.91
H: 0.0000 0.5000 0.5000  2 Co 1.67
H: 0.5000 0.0000 0.5000  2 Co 1.67

Results
The calculation puts the energy at -12.686 eV per atom. The calculation puts the calculated volume at 43 Å³/f.u.

4.
Hf2CoB2 | SCAN | single point on PBEsol structure

abc: 5.8503 5.8503 3.4730
angles: 90.00 90.00 90.00
With the nearest neighbours (Å) after each atom.
Positions (direct):
Hf: 0.1806 0.3194 0.0000  6 B 2.44-2.47
Hf: 0.3194 0.8194 0.0000  6 B 2.44-2.47
Hf: 0.6806 0.1806 0.0000  6 B 2.44-2.47
Hf: 0.8194 0.6806 0.0000  6 B 2.44-2.47
Co: 0.0000 0.0000 0.5000  4 B 2.36
Co: 0.5000 0.5000 0.5000  4 B 2.36
B: 0.1121 0.6121 0.5000  1 B 1.85
B: 0.3879 0.1121 0.5000  1 B 1.85
B: 0.6121 0.8879 0.5000  1 B 1.85
B: 0.8879 0.3879 0.5000  1 B 1.85

Results
The calculation puts the energy at -32.219 eV per atom. The calculation puts the calculated volume at 59 Å³/f.u. Its formation energy from the elements is -0.72 eV/atom.

5.
HfCoBTe2 | SCAN | single point on PBEsol structure

abc: 5.0554 5.0554 3.6568
angles: 90.00 90.00 90.00
With the nearest neighbours (Å) after each atom.
Positions (direct):
Hf: 0.0000 0.0000 0.0000  8 Te 3.12
Co: 0.5000 0.5000 0.5000  2 B 1.83
B: 0.5000 0.5000 0.0000  2 Co 1.83
Te: 0.0000 0.5000 0.5000  2 Co 2.53
Te: 0.5000 0.0000 0.5000  2 Co 2.53

Results
The calculation puts the energy at -32.028 eV per atom. The calculation puts the calculated volume at 93 Å³/f.u.

6.
CoHgB2 | SCAN | single point on PBEsol structure

abc: 7.5411 7.5411 7.5411
angles: 152.21 152.21 39.70
With the nearest neighbours (Å) after each atom.
Positions (direct):
Co: 0.3750 0.6250 0.7500  4 B 1.99
Co: 0.6250 0.3750 0.2500  4 B 1.99
Hg: 0.1250 0.8750 0.2500  4 Co 2.56, 8 B 2.69
Hg: 0.8750 0.1250 0.7500  4 Co 2.56, 8 B 2.69
B: 0.0000 0.5000 0.5000  2 B 1.81, 2 Co 1.99
B: 0.5000 0.0000 0.0000  2 B 1.81, 2 Co 1.99
B: 0.5000 0.5000 0.0000  2 B 1.81, 2 Co 1.99
B: 0.5000 0.5000 0.5000  2 B 1.81, 2 Co 1.99

Results
The calculation puts the energy at -24.558 eV per atom. The calculation puts the calculated volume at 47 Å³/f.u. Its formation energy from the elements is 0.52 eV/atom.